The following is a PBE-GGA calculation of KLa2As after structural relaxation, from Alexandria.

Unit cell a=4.251 b=4.159 c=9.539 alpha=90.00 beta=102.78 gamma=90.00
Atoms (fractional coordinates):
K1 0.000 0.000 0.000
La1 0.314 0.500 0.623
La2 0.695 0.000 0.382
As1 0.156 0.500 0.304

Results
Its raw total energy is -0.323 Ry per atom. The space-group type is Pm. The energy of formation comes out at -0.5005 eV per atom.